# 1
# CdHg2Sb | Alexandria via LeMat-Bulk | PBEsol | relaxed
data_CdHg2Sb
_chemical_formula_sum 'Cd1 Hg2 Sb1'
_symmetry_space_group_name_H-M 'P 1'
_symmetry_Int_Tables_number 1
_symmetry_space_group_name_Hall 'P 1'
_cell_length_a 3.239
_cell_length_b 3.239
_cell_length_c 8.965
_cell_angle_alpha 90.00
_cell_angle_beta 90.00
_cell_angle_gamma 90.00
loop_
_atom_site_label
_atom_site_fract_x
_atom_site_fract_y
_atom_site_fract_z
Hg1 0.000 0.000 0.992
Hg2 0.500 0.500 0.237
Cd1 0.500 0.500 0.762
Sb1 0.000 0.000 0.510
# E above lowest polymorph   5.4 kJ per mole of atoms
# Total magnetization   0.000 μB per atom
# Total energy   -1.633 eV per atom
# Density   11.2 g/cm³
# Formation energy without anion corrections   89 meV per atom

# 2
# Ce2CuGe3 | Alexandria via LeMat-Bulk | PBEsol | relaxed
data_Ce2CuGe3
_chemical_formula_sum 'Ce2 Cu1 Ge3'
_symmetry_space_group_name_H-M 'P 1'
_symmetry_Int_Tables_number 1
_symmetry_space_group_name_Hall 'P 1'
_cell_length_a 4.208
_cell_length_b 4.208
_cell_length_c 7.841
_cell_angle_alpha 90.00
_cell_angle_beta 90.00
_cell_angle_gamma 120.00
loop_
_atom_site_label
_atom_site_fract_x
_atom_site_fract_y
_atom_site_fract_z
Ge1 0.667 0.333 0.500
Ge2 0.667 0.333 0.000
Ge3 0.000 0.000 0.500
Cu1 0.000 0.000 0.000
Ce1 0.333 0.667 0.753
Ce2 0.333 0.667 0.247
# Total magnetization   0.115 μB per atom
# Total energy   -5.992 eV per atom
# Density   7.8 g/cm³

# 3
# BeSb2Rh | Alexandria via LeMat-Bulk | PBEsol | relaxed
data_BeSb2Rh
_chemical_formula_sum 'Be1 Sb2 Rh1'
_symmetry_space_group_name_H-M 'P 1'
_symmetry_Int_Tables_number 1
_symmetry_space_group_name_Hall 'P 1'
_cell_length_a 3.147
_cell_length_b 3.214
_cell_length_c 7.168
_cell_angle_alpha 90.00
_cell_angle_beta 98.78
_cell_angle_gamma 90.00
loop_
_atom_site_label
_atom_site_fract_x
_atom_site_fract_y
_atom_site_fract_z
Rh1 0.500 0.500 0.500
Sb1 0.089 0.000 0.742
Sb2 0.911 0.000 0.258
Be1 0.500 0.500 0.000
# Total magnetization   0.000 μB per atom
# Total energy   -5.130 eV per atom
# Density   8.2 g/cm³
# Formation energy without anion corrections   183 meV per atom

# 4
# BaZn4Fe | Alexandria via LeMat-Bulk | PBEsol | relaxed
data_BaZn4Fe
_chemical_formula_sum 'Ba1 Zn4 Fe1'
_symmetry_space_group_name_H-M 'P 1'
_symmetry_Int_Tables_number 1
_symmetry_space_group_name_Hall 'P 1'
_cell_length_a 5.340
_cell_length_b 5.340
_cell_length_c 5.340
_cell_angle_alpha 60.00
_cell_angle_beta 60.00
_cell_angle_gamma 60.00
loop_
_atom_site_label
_atom_site_fract_x
_atom_site_fract_y
_atom_site_fract_z
Ba1 0.750 0.750 0.750
Zn1 0.884 0.372 0.372
Zn2 0.372 0.372 0.884
Zn3 0.372 0.372 0.372
Zn4 0.372 0.884 0.372
Fe1 0.000 0.000 0.000
# Total magnetization   0.371 μB per atom
# Total energy   -2.666 eV per atom
# Density   7.0 g/cm³

# 5
# KFeSe2Br | Alexandria via LeMat-Bulk | PBEsol | relaxed
data_KFeSe2Br
_chemical_formula_sum 'K1 Fe1 Se2 Br1'
_symmetry_space_group_name_H-M 'P 1'
_symmetry_Int_Tables_number 1
_symmetry_space_group_name_Hall 'P 1'
_cell_length_a 5.584
_cell_length_b 5.408
_cell_length_c 5.408
_cell_angle_alpha 90.00
_cell_angle_beta 90.00
_cell_angle_gamma 90.00
loop_
_atom_site_label
_atom_site_fract_x
_atom_site_fract_y
_atom_site_fract_z
Br1 0.500 0.000 0.000
Se1 0.000 0.000 0.500
Se2 0.000 0.500 0.000
K1 0.000 0.000 0.000
Fe1 0.500 0.500 0.500
# Total magnetization   0.829 μB per atom
# Total energy   -2.704 eV per atom
# Density   3.4 g/cm³
# Formation energy without anion corrections   1229 meV per atom

# 6
# LiMgPb2 | Alexandria via LeMat-Bulk | PBEsol | relaxed
data_LiMgPb2
_chemical_formula_sum 'Li1 Mg1 Pb2'
_symmetry_space_group_name_H-M 'P 1'
_symmetry_Int_Tables_number 1
_symmetry_space_group_name_Hall 'P 1'
_cell_length_a 3.445
_cell_length_b 3.445
_cell_length_c 9.525
_cell_angle_alpha 79.58
_cell_angle_beta 79.58
_cell_angle_gamma 60.00
loop_
_atom_site_label
_atom_site_fract_x
_atom_site_fract_y
_atom_site_fract_z
Li1 0.500 0.500 0.500
Pb1 0.753 0.753 0.742
Pb2 0.247 0.247 0.258
Mg1 0.000 0.000 0.000
# Total magnetization   0.000 μB per atom
# Total energy   -3.082 eV per atom
# Density   7.7 g/cm³

# 7
# K2ScBr | Alexandria via LeMat-Bulk | PBEsol | relaxed
data_K2ScBr
_chemical_formula_sum 'K2 Sc1 Br1'
_symmetry_space_group_name_H-M 'P 1'
_symmetry_Int_Tables_number 1
_symmetry_space_group_name_Hall 'P 1'
_cell_length_a 3.756
_cell_length_b 3.756
_cell_length_c 11.800
_cell_angle_alpha 90.00
_cell_angle_beta 90.00
_cell_angle_gamma 118.37
loop_
_atom_site_label
_atom_site_fract_x
_atom_site_fract_y
_atom_site_fract_z
K1 0.000 0.000 0.058
K2 0.500 0.500 0.719
Sc1 0.000 0.000 0.447
Br1 0.500 0.500 0.276
# E above lowest polymorph   0.0 kJ per mole of atoms
# Total magnetization   0.204 μB per atom
# Total energy   -2.958 eV per atom
# Density   2.3 g/cm³
# Formation energy without anion corrections   -272 meV per atom

# 8
# Zr4Hg | Alexandria via LeMat-Bulk | PBEsol | relaxed
data_Zr4Hg
_chemical_formula_sum 'Zr4 Hg1'
_symmetry_space_group_name_H-M 'P 1'
_symmetry_Int_Tables_number 1
_symmetry_space_group_name_Hall 'P 1'
_cell_length_a 4.193
_cell_length_b 5.462
_cell_length_c 5.462
_cell_angle_alpha 81.53
_cell_angle_beta 67.43
_cell_angle_gamma 67.43
loop_
_atom_site_label
_atom_site_fract_x
_atom_site_fract_y
_atom_site_fract_z
Zr1 0.388 0.805 0.419
Zr2 0.612 0.195 0.581
Zr3 0.193 0.419 0.195
Zr4 0.807 0.581 0.805
Hg1 0.000 0.000 0.000
# Total magnetization   0.001 μB per atom
# Total energy   -7.521 eV per atom
# Density   8.8 g/cm³

# 9
# K2PF | Alexandria via LeMat-Bulk | PBEsol | relaxed
data_K2PF
_chemical_formula_sum 'K2 P1 F1'
_symmetry_space_group_name_H-M 'P 1'
_symmetry_Int_Tables_number 1
_symmetry_space_group_name_Hall 'P 1'
_cell_length_a 5.224
_cell_length_b 5.224
_cell_length_c 5.224
_cell_angle_alpha 60.00
_cell_angle_beta 60.00
_cell_angle_gamma 60.00
loop_
_atom_site_label
_atom_site_fract_x
_atom_site_fract_y
_atom_site_fract_z
F1 0.000 0.000 0.000
K1 0.250 0.250 0.250
K2 0.750 0.750 0.750
P1 0.500 0.500 0.500
# Total magnetization   0.500 μB per atom
# Total energy   -3.213 eV per atom
# Density   2.1 g/cm³
# Formation energy without anion corrections   -716 meV per atom

# 10
# KIr2Rh | Alexandria via LeMat-Bulk | PBEsol | relaxed
data_KIr2Rh
_chemical_formula_sum 'K1 Ir2 Rh1'
_symmetry_space_group_name_H-M 'P 1'
_symmetry_Int_Tables_number 1
_symmetry_space_group_name_Hall 'P 1'
_cell_length_a 2.627
_cell_length_b 5.139
_cell_length_c 5.139
_cell_angle_alpha 114.15
_cell_angle_beta 90.00
_cell_angle_gamma 90.00
loop_
_atom_site_label
_atom_site_fract_x
_atom_site_fract_y
_atom_site_fract_z
Rh1 0.500 0.500 0.500
Ir1 0.000 0.500 0.000
Ir2 0.000 0.000 0.500
K1 0.500 0.000 0.000
# E above lowest polymorph   22.9 kJ per mole of atoms
# Total magnetization   0.000 μB per atom
# Total energy   -6.305 eV per atom
# Density   13.8 g/cm³

# 11
# CrCo2Os | Alexandria via LeMat-Bulk | PBEsol | relaxed
data_CrCo2Os
_chemical_formula_sum 'Cr1 Co2 Os1'
_symmetry_space_group_name_H-M 'P 1'
_symmetry_Int_Tables_number 1
_symmetry_space_group_name_Hall 'P 1'
_cell_length_a 3.522
_cell_length_b 3.522
_cell_length_c 3.625
_cell_angle_alpha 90.00
_cell_angle_beta 90.00
_cell_angle_gamma 90.00
loop_
_atom_site_label
_atom_site_fract_x
_atom_site_fract_y
_atom_site_fract_z
Co1 0.000 0.500 0.000
Co2 0.500 0.000 0.000
Cr1 0.500 0.500 0.500
Os1 0.000 0.000 0.500
# E above lowest polymorph   0.0 kJ per mole of atoms
# Total magnetization   0.058 μB per atom
# Total energy   -9.452 eV per atom
# Density   13.3 g/cm³

# 12
# Mn2SbAu | Alexandria via LeMat-Bulk | PBEsol | relaxed
data_Mn2SbAu
_chemical_formula_sum 'Mn2 Sb1 Au1'
_symmetry_space_group_name_H-M 'P 1'
_symmetry_Int_Tables_number 1
_symmetry_space_group_name_Hall 'P 1'
_cell_length_a 3.434
_cell_length_b 3.434
_cell_length_c 5.614
_cell_angle_alpha 90.00
_cell_angle_beta 90.00
_cell_angle_gamma 90.00
loop_
_atom_site_label
_atom_site_fract_x
_atom_site_fract_y
_atom_site_fract_z
Mn1 0.000 0.000 0.251
Mn2 0.000 0.000 0.749
Sb1 0.500 0.500 0.000
Au1 0.500 0.500 0.500
# Total magnetization   1.717 μB per atom
# Total energy   -6.775 eV per atom
# Density   10.8 g/cm³
# Formation energy without anion corrections   226 meV per atom

# 13
# Ti2CoIN | Alexandria via LeMat-Bulk | PBEsol | relaxed
data_Ti2CoIN
_chemical_formula_sum 'Ti2 Co1 I1 N1'
_symmetry_space_group_name_H-M 'P 1'
_symmetry_Int_Tables_number 1
_symmetry_space_group_name_Hall 'P 1'
_cell_length_a 4.371
_cell_length_b 4.964
_cell_length_c 4.964
_cell_angle_alpha 90.00
_cell_angle_beta 90.00
_cell_angle_gamma 90.00
loop_
_atom_site_label
_atom_site_fract_x
_atom_site_fract_y
_atom_site_fract_z
I1 0.000 0.000 0.000
Ti1 0.000 0.500 0.000
Ti2 0.000 0.000 0.500
N1 0.500 0.500 0.500
Co1 0.500 0.000 0.000
# Total magnetization   0.190 μB per atom
# Total energy   -4.893 eV per atom
# Density   4.6 g/cm³
# Formation energy without anion corrections   2042 meV per atom

# 14
# Ba3SnAu | Alexandria via LeMat-Bulk | PBEsol | relaxed
data_Ba3SnAu
_chemical_formula_sum 'Ba3 Sn1 Au1'
_symmetry_space_group_name_H-M 'P 1'
_symmetry_Int_Tables_number 1
_symmetry_space_group_name_Hall 'P 1'
_cell_length_a 6.540
_cell_length_b 6.540
_cell_length_c 6.540
_cell_angle_alpha 90.00
_cell_angle_beta 90.00
_cell_angle_gamma 90.00
loop_
_atom_site_label
_atom_site_fract_x
_atom_site_fract_y
_atom_site_fract_z
Au1 0.500 0.500 0.500
Ba1 0.000 0.000 0.500
Ba2 0.000 0.500 0.000
Ba3 0.500 0.000 0.000
Sn1 0.000 0.000 0.000
# Total magnetization   0.000 μB per atom
# Total energy   -2.894 eV per atom
# Density   4.3 g/cm³